Tc2RhN after structural relaxation. Source: the Alexandria database, functional PBE.

Cell lengths 5.046, 5.046, 9.841 Å; angles 90.00, 90.00, 90.00 degrees
Atoms (fractional coordinates):
Tc: 0.166 0.250 0.125
Tc: 0.250 0.666 0.375
Tc: 0.250 0.834 0.875
Tc: 0.334 0.250 0.625
Tc: 0.666 0.750 0.625
Tc: 0.750 0.166 0.875
Tc: 0.750 0.334 0.375
Tc: 0.834 0.750 0.125
Rh: 0.000 0.000 0.500
Rh: 0.000 0.500 0.750
Rh: 0.500 0.000 0.250
Rh: 0.500 0.500 0.000
N: 0.000 0.000 0.000
N: 0.000 0.500 0.250
N: 0.500 0.000 0.750
N: 0.500 0.500 0.500

Computed properties:
* total moment: 0.00 μB per atom
* formation energy (no corrections): 0.475 eV/atom
* total energy: -138.0 eV/cell